Material: Mg2AlPd2
Method: DFT, SCAN
State: PBEsol geometry

- formation enthalpy at 0 K (eV per atom) = -0.72
- volume (Å³ per atom) = 17.0

abc: 6.460 6.460 4.082
angles: 90.00 90.00 90.00
Fractional coordinates of all 10 atoms:
Mg  0.161  0.339  0.000
Mg  0.339  0.839  0.000
Mg  0.661  0.161  0.000
Mg  0.839  0.661  0.000
Al  0.000  0.000  0.500
Al  0.500  0.500  0.500
Pd  0.148  0.648  0.500
Pd  0.352  0.148  0.500
Pd  0.648  0.852  0.500
Pd  0.852  0.352  0.500

Material: ZrFeSi
Method: DFT, SCAN
State: PBEsol geometry

- volume (Å³ per atom) = 14.5
- formation energy without anion corrections (kJ/mol of formula units) = -204

abc: 5.141 5.141 5.160
angles: 90.00 90.00 140.29
Fractional coordinates of all 6 atoms:
Zr  0.197  0.803  0.750
Zr  0.803  0.197  0.250
Fe  0.500  0.500  0.000
Fe  0.500  0.500  0.500
Si  0.088  0.912  0.250
Si  0.912  0.088  0.750

Material: Cr2InAu
Method: DFT, SCAN
State: PBEsol geometry

- formation enthalpy at 0 K (eV per atom) = 0.00
- volume (Å³ per atom) = 15.4

abc: 3.043 3.043 6.646
angles: 90.00 90.00 90.00
Fractional coordinates of all 4 atoms:
Cr  0.000  0.000  0.000
Cr  0.500  0.500  0.154
In  0.000  0.000  0.438
Au  0.500  0.500  0.735

Material: Bi2PbCl
Method: DFT, SCAN
State: PBEsol geometry

- volume (Å³ per atom) = 26.8
- formation energy without anion corrections (kJ/mol of formula units) = -29

abc: 5.334 5.334 5.334
angles: 60.00 60.00 60.00
Fractional coordinates of all 4 atoms:
Bi  0.250  0.250  0.250
Bi  0.750  0.750  0.750
Pb  0.000  0.000  0.000
Cl  0.500  0.500  0.500

Material: TaAs
Method: DFT, SCAN
State: PBEsol geometry

- formation enthalpy at 0 K (eV per atom) = -0.57
- volume (Å³ per atom) = 17.0

abc: 3.373 3.373 3.458
angles: 90.00 90.00 120.00
Fractional coordinates of all 2 atoms:
Ta  0.000  0.000  0.000
As  0.667  0.333  0.500

Material: K2CdAg
Method: DFT, SCAN
State: PBEsol geometry

- ΔE to the lowest computed polymorph (meV per atom) = 89
- formation enthalpy at 0 K (eV per atom) = 0.06
- volume (Å³ per atom) = 33.4

abc: 4.036 4.036 8.193
angles: 90.00 90.00 90.00
Fractional coordinates of all 4 atoms:
K  0.000  0.000  0.232
K  0.000  0.000  0.768
Cd  0.500  0.500  0.500
Ag  0.500  0.500  0.000